CeBiRh2: optimized geometry, PBE.

a b c (Å): 5.2092 5.7053 11.3339
angles (deg): 90.00 90.00 90.00
With the nearest neighbours (Å) after each atom.
Positions (direct):
Ce: 0.7500 0.6577 0.6389  4 Rh 2.63-2.91
Ce: 0.2500 0.8423 0.1389  4 Rh 2.63-2.91
Ce: 0.2500 0.3423 0.3611  4 Rh 2.63-2.91
Ce: 0.7500 0.1577 0.8611  4 Rh 2.63-2.91
Bi: 0.7500 0.9695 0.3551  6 Rh 2.82-3.06
Bi: 0.2500 0.5305 0.8551  6 Rh 2.82-3.06
Bi: 0.2500 0.0305 0.6449  6 Rh 2.82-3.06
Bi: 0.7500 0.4695 0.1449  6 Rh 2.82-3.06
Rh: 0.7500 0.2032 0.5981  1 Ce 2.63, 1 Rh 2.77, 2 Bi 2.83
Rh: 0.2500 0.2968 0.0981  1 Ce 2.63, 1 Rh 2.77, 2 Bi 2.83
Rh: 0.2500 0.7968 0.4019  1 Ce 2.63, 1 Rh 2.77, 2 Bi 2.83
Rh: 0.7500 0.7032 0.9019  1 Ce 2.63, 1 Rh 2.77, 2 Bi 2.83
Rh: 0.7500 0.4828 0.3978  3 Ce 2.76-2.91, 1 Rh 2.77, 3 Bi 2.82-2.97
Rh: 0.2500 0.0172 0.8978  3 Ce 2.76-2.91, 1 Rh 2.77, 3 Bi 2.82-2.97
Rh: 0.2500 0.5172 0.6022  3 Ce 2.76-2.91, 1 Rh 2.77, 3 Bi 2.82-2.97
Rh: 0.7500 0.9828 0.1022  3 Ce 2.76-2.91, 1 Rh 2.77, 3 Bi 2.82-2.97

Results
The energy of formation comes out at -0.55 eV/atom. The calculation puts the total energy at -106.92 eV/cell. For the density of states at the Fermi level, the calculation gives 12.4 states/eV per cell.

Ti3ZnO: optimized geometry, PBE.

a b c (Å): 4.1061 4.1061 4.1061
angles (deg): 90.00 90.00 90.00
With the nearest neighbours (Å) after each atom.
Positions (direct):
Zn: 0.5000 0.5000 0.5000  12 Ti 2.90
O: 0.0000 0.0000 0.0000  6 Ti 2.05
Ti: 0.0000 0.5000 0.0000  2 O 2.05
Ti: 0.0000 0.0000 0.5000  2 O 2.05
Ti: 0.5000 0.0000 0.0000  2 O 2.05

Results
As for the formation energy (no corrections): -1.139 eV per atom. The calculation puts the total energy at -35.61 eV/cell. For the density of states at the Fermi level, the calculation gives 3.5 states/eV per cell.

PuMn2GaH8: optimized geometry, PBE.

a b c (Å): 4.0981 4.0981 6.3390
angles (deg): 90.00 90.00 120.00
With the nearest neighbours (Å) after each atom.
Positions (direct):
Pu: 0.0000 0.0000 0.0000  12 H 2.26-2.43
Mn: 0.6667 0.3333 0.3364  4 H 1.58-1.60
Mn: 0.3333 0.6667 0.6636  4 H 1.58-1.60
Ga: 0.0000 0.0000 0.5000  6 H 2.08
H: 0.3333 0.6667 0.9160  1 Mn 1.60
H: 0.3240 0.3873 0.2697  1 Mn 1.58
H: 0.6127 0.9367 0.2697  1 Mn 1.58
H: 0.6667 0.3333 0.0840  1 Mn 1.60
H: 0.3873 0.0633 0.7303  1 Mn 1.58
H: 0.6760 0.6127 0.7303  1 Mn 1.58
H: 0.9367 0.3240 0.7303  1 Mn 1.58
H: 0.0633 0.6760 0.2697  1 Mn 1.58

Results
The calculation puts the total energy at -61.44 eV/cell. For the density of states at the Fermi level, the calculation gives 13.4 states/eV per cell.

KAcGe2Br8: optimized geometry, PBE.

a b c (Å): 7.3223 6.8514 9.4536
angles (deg): 86.86 86.18 86.38
With the nearest neighbours (Å) after each atom.
Positions (direct):
K: 0.0000 0.0000 0.5000  6 Br 3.25-3.42
Ac: 0.0000 0.0000 0.0000  6 Br 3.03-3.10
Ge: 0.4673 0.4635 0.7426  2 Br 2.48-2.63
Ge: 0.5327 0.5365 0.2574  2 Br 2.48-2.63
Br: 0.1851 0.7595 0.2344  1 Ge 2.90, 1 Ac 3.03
Br: 0.6629 0.7448 0.0351  1 Ge 2.63
Br: 0.8486 0.2678 0.2318  1 Ge 2.87, 1 Ac 3.04
Br: 0.8149 0.2405 0.7656  1 Ge 2.90, 1 Ac 3.03
Br: 0.3371 0.2552 0.9649  1 Ge 2.63
Br: 0.1514 0.7322 0.7682  1 Ge 2.87, 1 Ac 3.04
Br: 0.6376 0.7269 0.4493  1 Ge 2.48
Br: 0.3624 0.2731 0.5507  1 Ge 2.48

Results
As for the formation energy (no corrections): -1.214 eV per atom. The calculation puts the total energy at -42.39 eV/cell. For the density of states at the Fermi level, the calculation gives 0.0 states/eV per cell.

Tb3SmRu: optimized geometry, PBE.

a b c (Å): 5.4184 5.4184 5.4184
angles (deg): 90.00 90.00 90.00
With the nearest neighbours (Å) after each atom.
Positions (direct):
Ru: 0.0000 0.0000 0.0000  6 Tb 2.71
Tb: 0.0000 0.5000 0.0000  2 Ru 2.71
Tb: 0.0000 0.0000 0.5000  2 Ru 2.71
Tb: 0.5000 0.0000 0.0000  2 Ru 2.71
Sm: 0.5000 0.5000 0.5000  12 Tb 3.83

Results
The energy of formation comes out at -0.05 eV/atom. The value obtained for the distance to the lowest polymorph of the same formula is 89 meV per atom. The calculation puts the total energy at -28.15 eV/cell. For the density of states at the Fermi level, the calculation gives 8.4 states/eV per cell.

ZnGa2Au8: optimized geometry, PBE.

a b c (Å): 4.0946 6.6559 7.8055
angles (deg): 108.33 105.21 90.00
With the nearest neighbours (Å) after each atom.
Positions (direct):
Zn: 0.5000 0.0000 0.0000  8 Au 2.72-2.92
Ga: 0.7958 0.3350 0.5917  9 Au 2.67-2.86
Ga: 0.2042 0.6650 0.4083  9 Au 2.67-2.86
Au: 0.4092 0.5399 0.8184  2 Ga 2.73, 6 Au 2.87-3.00, 1 Zn 2.92
Au: 0.6734 0.9357 0.3468  3 Ga 2.70-2.86, 1 Zn 2.78, 7 Au 2.87-3.00
Au: 0.8372 0.7564 0.6744  3 Ga 2.67-2.79, 5 Au 2.91-2.97
Au: 0.9642 0.2322 0.9285  2 Zn 2.72, 1 Ga 2.83, 5 Au 2.87-2.97
Au: 0.1628 0.2436 0.3256  3 Ga 2.67-2.79, 5 Au 2.91-2.97
Au: 0.3266 0.0643 0.6532  3 Ga 2.70-2.86, 1 Zn 2.78, 7 Au 2.87-3.00
Au: 0.5908 0.4601 0.1816  2 Ga 2.73, 6 Au 2.87-3.00, 1 Zn 2.92
Au: 0.0358 0.7678 0.0715  2 Zn 2.72, 1 Ga 2.83, 5 Au 2.87-2.97

Results
The energy of formation comes out at -0.11 eV/atom. The value obtained for the distance to the lowest polymorph of the same formula is 6 meV per atom. The calculation puts the total energy at -34.81 eV/cell. For the density of states at the Fermi level, the calculation gives 2.5 states/eV per cell.